A plane-wave DFT calculation with SCAN was carried out for a crystal of IrCl relaxed with PBEsol.

## Properties
The calculated volume comes out at 14.71 Å³/atom. The value obtained for the uncorrected formation energy is 1.6707 eV per atom. For the polymorph energy (0 for the lowest one), the calculation gives 30.40 kcal/mol of atoms.

Lattice parameters (Å, degrees): 3.087 3.087 3.087 90.00 90.00 90.00
Atoms (fractional coordinates):
Ir  0.000  0.000  0.000
Cl  0.500  0.500  0.500


A plane-wave DFT calculation with SCAN was carried out for a crystal of SrIn3Au relaxed with PBEsol.

## Properties
The calculated volume comes out at 25.51 Å³/atom. For the energy of formation from the pure elements, the calculation gives -0.60 eV per atom.

Lattice parameters (Å, degrees): 7.041 7.041 7.041 142.67 142.67 53.82
Atoms (fractional coordinates):
Sr  0.000  0.000  0.000
In  0.268  0.768  0.500
In  0.615  0.615  0.000
In  0.768  0.268  0.500
Au  0.402  0.402  0.000


A plane-wave DFT calculation with SCAN was carried out for a crystal of CaZr2Cu relaxed with PBEsol.

## Properties
The calculated volume comes out at 21.35 Å³/atom. For the polymorph energy (0 for the lowest one), the calculation gives 0.00 kcal/mol of atoms. For the energy of formation from the pure elements, the calculation gives 0.27 eV per atom.

Lattice parameters (Å, degrees): 5.898 5.898 5.898 146.81 129.86 61.46
Atoms (fractional coordinates):
Ca  0.000  0.000  0.000
Zr  0.427  0.427  0.000
Zr  0.708  0.208  0.500
Cu  0.227  0.727  0.500


A plane-wave DFT calculation with SCAN was carried out for a crystal of BPIO2 relaxed with PBEsol.

## Properties
The calculated volume comes out at 14.49 Å³/atom. The value obtained for the uncorrected formation energy is 0.2129 eV per atom. For the polymorph energy (0 for the lowest one), the calculation gives 0.00 kcal/mol of atoms.

Lattice parameters (Å, degrees): 3.386 3.386 6.319 90.00 90.00 90.00
Atoms (fractional coordinates):
B  0.000  0.000  0.000
P  0.500  0.500  0.500
I  0.500  0.500  0.000
O  0.000  0.500  0.500
O  0.500  0.000  0.500


Repeat the second record exactly.
A plane-wave DFT calculation with SCAN was carried out for a crystal of SrIn3Au relaxed with PBEsol.

## Properties
The calculated volume comes out at 25.51 Å³/atom. For the energy of formation from the pure elements, the calculation gives -0.60 eV per atom.

Lattice parameters (Å, degrees): 7.041 7.041 7.041 142.67 142.67 53.82
Atoms (fractional coordinates):
Sr  0.000  0.000  0.000
In  0.268  0.768  0.500
In  0.615  0.615  0.000
In  0.768  0.268  0.500
Au  0.402  0.402  0.000


What did the first record say?
A plane-wave DFT calculation with SCAN was carried out for a crystal of IrCl relaxed with PBEsol.

## Properties
The calculated volume comes out at 14.71 Å³/atom. The value obtained for the uncorrected formation energy is 1.6707 eV per atom. For the polymorph energy (0 for the lowest one), the calculation gives 30.40 kcal/mol of atoms.

Lattice parameters (Å, degrees): 3.087 3.087 3.087 90.00 90.00 90.00
Atoms (fractional coordinates):
Ir  0.000  0.000  0.000
Cl  0.500  0.500  0.500